The following is a PBE calculation of crystalline BaZnIn2 at its relaxed geometry, from Alexandria.

Results
Uncorrected energy (eV for the cell shown): -9.4

Unit cell a=3.736 b=3.955 c=7.898 alpha=90.00 beta=90.00 gamma=90.00
Space group Pmm2 (No. 25)
One atom of each set of equivalent atoms:
Ba 0.000 0.000 0.000 (multiplicity 1)
Zn 0.500 0.500 0.709 (multiplicity 1)
In 0.000 0.000 0.536 (multiplicity 1)
In 0.500 0.500 0.315 (multiplicity 1)